NaDyPu2Se4 | PBE | optimized geometry

Cell lengths 4.151, 7.217, 7.166 Å; angles 109.33, 90.00, 90.00 degrees
Element x y z (fractional)
Na1 0.500 0.500 0.000
Dy1 0.000 0.000 0.000
Pu1 0.500 0.000 0.500
Pu2 0.000 0.500 0.500
Se1 0.500 0.245 0.246
Se2 0.500 0.755 0.754
Se3 0.000 0.244 0.750
Se4 0.000 0.756 0.250

For the formation energy (no corrections), the calculation gives -1.566 eV per atom. The space group is P2/m.


AlTlGe | PBE | optimized geometry

Cell lengths 4.003, 4.003, 9.009 Å; angles 90.00, 90.00, 90.00 degrees
Element x y z (fractional)
Tl1 0.000 0.500 0.878
Tl2 0.500 0.000 0.122
Ge1 0.000 0.500 0.306
Ge2 0.500 0.000 0.694
Al1 0.000 0.000 0.500
Al2 0.500 0.500 0.500

Its formation energy is 0.054 eV/atom. The space group is P4/nmm.